[1]
DyLuZnSn | PBE | relaxed

Properties
The density of states at the Fermi level comes out at 0.6041 states/eV/atom. Its energy of formation from the pure elements is -0.46 eV per atom. As for the space-group type: F-43m. The value obtained for the total energy is -4.06 eV per atom.

a b c (Å): 5.134 5.134 5.134
angles (deg): 60.00 60.00 60.00
Atoms (fractional coordinates):
Sn 0.250 0.250 0.250
Zn 0.750 0.750 0.750
Dy 0.000 0.000 0.000
Lu 0.500 0.500 0.500

***

[2]
TaIn2Pt | PBE | relaxed

Properties
The density of states at the Fermi level comes out at 1.2327 states/eV/atom. The value obtained for the relative energy among the computed polymorphs is 313 meV per atom. Its energy of formation from the pure elements is 0.18 eV per atom. As for the space-group type: I4/mmm. The value obtained for the total energy is -5.66 eV per atom.

a b c (Å): 5.371 5.371 5.371
angles (deg): 134.60 134.60 66.15
Atoms (fractional coordinates):
In 0.000 0.000 0.000
Pt 0.250 0.750 0.500
Ta 0.750 0.250 0.500
In 0.500 0.500 0.000

***

[3]
HfSn2Au2 | PBE | relaxed

Properties
The density of states at the Fermi level comes out at 0.3925 states/eV/atom. The value obtained for the relative energy among the computed polymorphs is 99 meV per atom. Its energy of formation from the pure elements is -0.02 eV per atom. As for the space-group type: P4/mbm. The value obtained for the total energy is -4.92 eV per atom.

a b c (Å): 7.959 7.959 3.425
angles (deg): 90.00 90.00 90.00
Atoms (fractional coordinates):
Sn 0.650 0.150 0.000
Sn 0.150 0.350 0.000
Au 0.651 0.849 0.500
Au 0.151 0.651 0.500
Au 0.349 0.151 0.500
Sn 0.350 0.850 0.000
Hf 0.500 0.500 0.000
Hf 0.000 0.000 0.000
Sn 0.850 0.650 0.000
Au 0.849 0.349 0.500

***

[4]
Rh2C | PBE | relaxed

Properties
The density of states at the Fermi level comes out at 0.7826 states/eV/atom. The value obtained for the relative energy among the computed polymorphs is 284 meV per atom. Its energy of formation from the pure elements is 0.48 eV per atom. As for the space-group type: P-62m. The value obtained for the total energy is -7.50 eV per atom.

a b c (Å): 5.521 5.521 4.156
angles (deg): 90.00 90.00 120.00
Atoms (fractional coordinates):
Rh 0.354 0.354 0.500
C 0.000 0.000 0.500
Rh 0.697 0.697 0.000
Rh 0.000 0.646 0.500
C 0.333 0.667 0.000
Rh 0.303 0.000 0.000
Rh 0.000 0.303 0.000
C 0.667 0.333 0.000
Rh 0.646 0.000 0.500

***

[5]
LiReSn3 | PBE | relaxed

Properties
The density of states at the Fermi level comes out at 0.9564 states/eV/atom. The value obtained for the relative energy among the computed polymorphs is 751 meV per atom. Its energy of formation from the pure elements is 1.11 eV per atom. As for the space-group type: Pm-3m. The value obtained for the total energy is -4.16 eV per atom.

a b c (Å): 4.858 4.858 4.858
angles (deg): 90.00 90.00 90.00
Site moments in Bohr magnetons follow the coordinates.
Atoms (fractional coordinates):
Sn 0.000 0.500 0.000  -0.04
Re 0.500 0.500 0.500  2.71
Sn 0.500 0.000 0.000  -0.06
Li 0.000 0.000 0.000  0.03
Sn 0.000 0.000 0.500  -0.02

***

[6]
CaNiH2 | PBE | relaxed

Properties
The density of states at the Fermi level comes out at 0.0000 states/eV/atom. The value obtained for the relative energy among the computed polymorphs is 84 meV per atom. As for the space-group type: I-42d. The value obtained for the total energy is -3.93 eV per atom.

a b c (Å): 5.026 5.026 4.877
angles (deg): 58.98 58.98 90.00
Atoms (fractional coordinates):
H 0.745 0.125 0.250
Ca 0.250 0.750 0.500
H 0.875 0.995 0.750
H 0.005 0.625 0.250
Ni 0.000 0.000 0.000
Ni 0.750 0.250 0.500
H 0.375 0.255 0.750
Ca 0.500 0.500 0.000

***

[7]
PrZn3Ag2 | PBE | relaxed

Properties
The density of states at the Fermi level comes out at 0.5013 states/eV/atom. Its energy of formation from the pure elements is -0.21 eV per atom. As for the space-group type: P6_3/mmc. The value obtained for the total energy is -2.59 eV per atom.

a b c (Å): 4.528 4.528 13.283
angles (deg): 90.00 90.00 120.00
Atoms (fractional coordinates):
Zn 0.000 0.000 0.000
Ag 0.667 0.333 0.420
Pr 0.000 0.000 0.250
Zn 0.667 0.333 0.873
Zn 0.667 0.333 0.627
Zn 0.333 0.667 0.373
Ag 0.333 0.667 0.580
Ag 0.667 0.333 0.080
Ag 0.333 0.667 0.920
Zn 0.000 0.000 0.500
Zn 0.333 0.667 0.127
Pr 0.000 0.000 0.750

***

[8]
Tb5GeSb2 | PBE | relaxed

Properties
The density of states at the Fermi level comes out at 0.9969 states/eV/atom. The value obtained for the uncorrected formation energy is -0.5052 eV per atom. As for the space-group type: Cmcm. The value obtained for the total energy is -5.01 eV per atom.

a b c (Å): 6.002 7.029 13.948
angles (deg): 90.00 90.00 115.27
Atoms (fractional coordinates):
Ge 0.773 0.546 0.750
Sb 0.824 0.648 0.429
Tb 0.942 0.884 0.618
Tb 0.638 0.276 0.921
Tb 0.638 0.276 0.579
Tb 0.058 0.116 0.118
Tb 0.362 0.724 0.421
Ge 0.227 0.454 0.250
Tb 0.058 0.116 0.382
Sb 0.824 0.648 0.071
Sb 0.176 0.352 0.929
Tb 0.690 0.379 0.250
Tb 0.942 0.884 0.882
Sb 0.176 0.352 0.571
Tb 0.362 0.724 0.079
Tb 0.310 0.621 0.750

***

Q: Which formula does entry 5 have?
A: LiReSn3